[1]
Entry from Alexandria: a PBEsol-optimized structure of In2SiOs (meta-GGA SCAN).

The structure in CIF format:
```
data_In2SiOs
_chemical_formula_sum 'In2 Si1 Os1'
_space_group_name_H-M_alt 'P 4/m m m'
_space_group_IT_number 123
_space_group_name_Hall '-P 4 2'
_cell_length_a 3.017
_cell_length_b 3.017
_cell_length_c 8.060
_cell_angle_alpha 90.00
_cell_angle_beta 90.00
_cell_angle_gamma 90.00
loop_
_atom_site_label
_atom_site_fract_x
_atom_site_fract_y
_atom_site_fract_z
_atom_site_occupancy
In1 0.000 0.000 0.223 1
Si1 0.500 0.500 0.500 1
Os1 0.500 0.500 0.000 1
```

ΔE_f (raw): 0.6447 eV/atom

[2]
Entry from Alexandria: a PBEsol-optimized structure of BeAlI3 (meta-GGA SCAN).

The structure in CIF format:
```
data_BeAlI3
_chemical_formula_sum 'Be1 Al1 I3'
_space_group_name_H-M_alt 'P m -3 m'
_space_group_IT_number 221
_space_group_name_Hall '-P 4 2 3'
_cell_length_a 5.467
_cell_length_b 5.467
_cell_length_c 5.467
_cell_angle_alpha 90.00
_cell_angle_beta 90.00
_cell_angle_gamma 90.00
loop_
_atom_site_label
_atom_site_fract_x
_atom_site_fract_y
_atom_site_fract_z
_atom_site_occupancy
Be1 0.000 0.000 0.000 1
Al1 0.500 0.500 0.500 1
I1 0.000 0.500 0.500 1
```

ΔE_f (raw): 0.3721 eV/atom

[3]
Entry from Alexandria: a PBEsol-optimized structure of ErCuP2 (meta-GGA SCAN).

The structure in CIF format:
```
data_ErCuP2
_chemical_formula_sum 'Er4 Cu4 P8'
_space_group_name_H-M_alt 'P n m a'
_space_group_IT_number 62
_space_group_name_Hall '-P 2ac 2n'
_cell_length_a 18.968
_cell_length_b 3.656
_cell_length_c 3.675
_cell_angle_alpha 90.00
_cell_angle_beta 90.00
_cell_angle_gamma 90.00
loop_
_atom_site_label
_atom_site_fract_x
_atom_site_fract_y
_atom_site_fract_z
_atom_site_occupancy
Er1 0.117 0.250 0.222 1
Cu1 0.250 0.250 0.721 1
P1 0.001 0.250 0.706 1
P2 0.171 0.750 0.722 1
```

ΔE_f: -3.9 eV per formula unit

[4]
Entry from Alexandria: a PBEsol-optimized structure of CuSi2Sb (meta-GGA SCAN).

The structure in CIF format:
```
data_CuSi2Sb
_chemical_formula_sum 'Cu1 Si2 Sb1'
_space_group_name_H-M_alt 'P 1 m 1'
_space_group_IT_number 6
_space_group_name_Hall 'P -2y'
_cell_length_a 3.177
_cell_length_b 3.429
_cell_length_c 6.582
_cell_angle_alpha 90.00
_cell_angle_beta 103.82
_cell_angle_gamma 90.00
loop_
_atom_site_label
_atom_site_fract_x
_atom_site_fract_y
_atom_site_fract_z
_atom_site_occupancy
Cu1 0.000 0.000 0.000 1
Si1 0.391 0.500 0.783 1
Si2 0.814 0.000 0.626 1
Sb1 0.621 0.500 0.240 1
```

ΔE_f (raw): 0.4266 eV/atom

[5]
Entry from Alexandria: a PBEsol-optimized structure of GaSiAs3 (meta-GGA SCAN).

The structure in CIF format:
```
data_GaSiAs3
_chemical_formula_sum 'Ga1 Si1 As3'
_space_group_name_H-M_alt 'P m -3 m'
_space_group_IT_number 221
_space_group_name_Hall '-P 4 2 3'
_cell_length_a 4.802
_cell_length_b 4.802
_cell_length_c 4.802
_cell_angle_alpha 90.00
_cell_angle_beta 90.00
_cell_angle_gamma 90.00
loop_
_atom_site_label
_atom_site_fract_x
_atom_site_fract_y
_atom_site_fract_z
_atom_site_occupancy
Ga1 0.000 0.000 0.000 1
Si1 0.500 0.500 0.500 1
As1 0.000 0.000 0.500 1
```

ΔE_f (raw): 1.0486 eV/atom

[6]
Entry from Alexandria: a PBEsol-optimized structure of LaBi2IO4 (meta-GGA SCAN).

The structure in CIF format:
```
data_LaBi2IO4
_chemical_formula_sum 'La1 Bi2 I1 O4'
_space_group_name_H-M_alt 'P 4/m m m'
_space_group_IT_number 123
_space_group_name_Hall '-P 4 2'
_cell_length_a 3.987
_cell_length_b 3.987
_cell_length_c 9.578
_cell_angle_alpha 90.00
_cell_angle_beta 90.00
_cell_angle_gamma 90.00
loop_
_atom_site_label
_atom_site_fract_x
_atom_site_fract_y
_atom_site_fract_z
_atom_site_occupancy
La1 0.000 0.000 0.000 1
Bi1 0.500 0.500 0.266 1
I1 0.000 0.000 0.500 1
O1 0.000 0.500 0.155 1
```

ΔE_f (raw): -1.9590 eV/atom

[7]
Entry from Alexandria: a PBEsol-optimized structure of TmTlTe2 (meta-GGA SCAN).

The structure in CIF format:
```
data_TmTlTe2
_chemical_formula_sum 'Tm3 Tl3 Te6'
_space_group_name_H-M_alt 'R -3 m'
_space_group_IT_number 166
_space_group_name_Hall '-R 3 2"'
_cell_length_a 4.3101
_cell_length_b 4.3101
_cell_length_c 24.0246
_cell_angle_alpha 90.00
_cell_angle_beta 90.00
_cell_angle_gamma 120.00
loop_
_atom_site_label
_atom_site_fract_x
_atom_site_fract_y
_atom_site_fract_z
_atom_site_occupancy
Tm1 0.0000 0.0000 0.0000 1
Tl1 0.0000 0.0000 0.5000 1
Te1 0.0000 0.0000 0.2616 1
```

ΔE_f (raw): -1.1065 eV/atom

[8]
Entry from Alexandria: a PBEsol-optimized structure of MnRuPt2Se (meta-GGA SCAN).

The structure in CIF format:
```
data_MnRuPt2Se
_chemical_formula_sum 'Mn1 Ru1 Pt2 Se1'
_space_group_name_H-M_alt 'P 4/m m m'
_space_group_IT_number 123
_space_group_name_Hall '-P 4 2'
_cell_length_a 4.578
_cell_length_b 4.578
_cell_length_c 4.378
_cell_angle_alpha 90.00
_cell_angle_beta 90.00
_cell_angle_gamma 90.00
loop_
_atom_site_label
_atom_site_fract_x
_atom_site_fract_y
_atom_site_fract_z
_atom_site_occupancy
Mn1 0.000 0.000 0.000 1
Ru1 0.500 0.500 0.000 1
Pt1 0.000 0.500 0.500 1
Se1 0.000 0.000 0.500 1
```

ΔE_f (raw): 0.8015 eV/atom

Repeat the sixth record exactly.
Entry from Alexandria: a PBEsol-optimized structure of LaBi2IO4 (meta-GGA SCAN).

The structure in CIF format:
```
data_LaBi2IO4
_chemical_formula_sum 'La1 Bi2 I1 O4'
_space_group_name_H-M_alt 'P 4/m m m'
_space_group_IT_number 123
_space_group_name_Hall '-P 4 2'
_cell_length_a 3.987
_cell_length_b 3.987
_cell_length_c 9.578
_cell_angle_alpha 90.00
_cell_angle_beta 90.00
_cell_angle_gamma 90.00
loop_
_atom_site_label
_atom_site_fract_x
_atom_site_fract_y
_atom_site_fract_z
_atom_site_occupancy
La1 0.000 0.000 0.000 1
Bi1 0.500 0.500 0.266 1
I1 0.000 0.000 0.500 1
O1 0.000 0.500 0.155 1
```

ΔE_f (raw): -1.9590 eV/atom

Please write out number 3 again, unchanged.
Entry from Alexandria: a PBEsol-optimized structure of ErCuP2 (meta-GGA SCAN).

The structure in CIF format:
```
data_ErCuP2
_chemical_formula_sum 'Er4 Cu4 P8'
_space_group_name_H-M_alt 'P n m a'
_space_group_IT_number 62
_space_group_name_Hall '-P 2ac 2n'
_cell_length_a 18.968
_cell_length_b 3.656
_cell_length_c 3.675
_cell_angle_alpha 90.00
_cell_angle_beta 90.00
_cell_angle_gamma 90.00
loop_
_atom_site_label
_atom_site_fract_x
_atom_site_fract_y
_atom_site_fract_z
_atom_site_occupancy
Er1 0.117 0.250 0.222 1
Cu1 0.250 0.250 0.721 1
P1 0.001 0.250 0.706 1
P2 0.171 0.750 0.722 1
```

ΔE_f: -3.9 eV per formula unit

Repeat the eighth record exactly.
Entry from Alexandria: a PBEsol-optimized structure of MnRuPt2Se (meta-GGA SCAN).

The structure in CIF format:
```
data_MnRuPt2Se
_chemical_formula_sum 'Mn1 Ru1 Pt2 Se1'
_space_group_name_H-M_alt 'P 4/m m m'
_space_group_IT_number 123
_space_group_name_Hall '-P 4 2'
_cell_length_a 4.578
_cell_length_b 4.578
_cell_length_c 4.378
_cell_angle_alpha 90.00
_cell_angle_beta 90.00
_cell_angle_gamma 90.00
loop_
_atom_site_label
_atom_site_fract_x
_atom_site_fract_y
_atom_site_fract_z
_atom_site_occupancy
Mn1 0.000 0.000 0.000 1
Ru1 0.500 0.500 0.000 1
Pt1 0.000 0.500 0.500 1
Se1 0.000 0.000 0.500 1
```

ΔE_f (raw): 0.8015 eV/atom